(1)
Material: YAlCu3
Method: DFT, PBEsol
State: relaxed

a b c (Å): 4.936 4.936 4.936
angles (deg): 90.00 90.00 90.00
Space group Pm-3m (No. 221)
One atom of each set of equivalent atoms:
Y: 0.000 0.000 0.000 x1
Al: 0.500 0.500 0.500 x1
Cu: 0.000 0.000 0.500 x3



(2)
Material: Ni5Ru
Method: DFT, PBEsol
State: relaxed

a b c (Å): 4.058 2.495 12.971
angles (deg): 90.00 90.00 90.00
Space group Amm2 (No. 38)
One atom of each set of equivalent atoms:
Ni: 0.000 0.000 0.000 x2
Ni: 0.000 0.000 0.327 x2
Ni: 0.000 0.000 0.664 x2
Ni: 0.500 0.000 0.218 x2
Ni: 0.500 0.000 0.556 x2
Ru: 0.500 0.000 0.888 x2



(3)
Material: CuRe2SnAu
Method: DFT, PBEsol
State: relaxed

a b c (Å): 4.503 4.503 4.562
angles (deg): 90.00 90.00 90.00
Space group P4/mmm (No. 123)
One atom of each set of equivalent atoms:
Cu: 0.000 0.000 0.000 x1
Re: 0.000 0.500 0.000 x2
Sn: 0.500 0.500 0.500 x1
Au: 0.000 0.000 0.500 x1



(4)
Material: MnB2I2
Method: DFT, PBEsol
State: relaxed

a b c (Å): 7.464 7.464 3.354
angles (deg): 90.00 90.00 90.00
Space group P4/mbm (No. 127)
One atom of each set of equivalent atoms:
Mn: 0.000 0.000 0.000 x2
B: 0.191 0.309 0.500 x4
I: 0.160 0.660 0.000 x4

ΔE_f (raw) (eV/f.u.): 8.322



(5)
Material: Tb2Al6Si4Au
Method: DFT, PBEsol
State: relaxed

a b c (Å): 4.1750 4.1750 49.8681
angles (deg): 90.00 90.00 120.00
Space group R-3m (No. 166, hexagonal axes)
One atom of each set of equivalent atoms:
Tb: 0.0000 0.0000 0.0656 x6
Al: 0.0000 0.0000 0.1831 x6
Al: 0.0000 0.0000 0.3145 x6
Al: 0.0000 0.0000 0.4478 x6
Si: 0.0000 0.0000 0.2345 x6
Si: 0.0000 0.0000 0.3651 x6
Au: 0.0000 0.0000 0.5000 x3

ΔE_f (raw) (eV/f.u.): -5.371



(6)
Material: YInTc2
Method: DFT, PBEsol
State: relaxed

a b c (Å): 3.120 4.748 5.337
angles (deg): 90.00 90.19 90.00
Space group P2/m (No. 10)
One atom of each set of equivalent atoms:
Y: 0.000 0.000 0.000 x1
In: 0.500 0.000 0.500 x1
Tc: 0.498 0.500 0.791 x2



(7)
Material: Ti2FeP2O10
Method: DFT, PBEsol
State: relaxed

a b c (Å): 7.398 7.399 7.312
angles (deg): 90.00 119.42 90.00
Space group P2_1/c (No. 14)
One atom of each set of equivalent atoms:
Ti: 0.247 0.232 0.225 x4
Fe: 0.500 0.000 0.000 x2
P: 0.246 0.625 0.999 x4
O: 0.046 0.734 0.915 x4
O: 0.244 0.506 0.825 x4
O: 0.277 0.503 0.185 x4
O: 0.284 0.163 0.011 x4
O: 0.431 0.743 0.584 x4

ΔE_f (raw) (eV/f.u.): -36.288



(8)
Material: YTcRu
Method: DFT, PBEsol
State: relaxed

a b c (Å): 6.151 6.151 6.151
angles (deg): 90.00 90.00 90.00
Space group F-43m (No. 216)
One atom of each set of equivalent atoms:
Y: 0.000 0.000 0.000 x4
Tc: 0.250 0.250 0.250 x4
Ru: 0.000 0.000 0.500 x4



(9)
Material: PbClF
Method: DFT, PBEsol
State: relaxed

a b c (Å): 4.061 4.061 7.192
angles (deg): 90.00 90.00 90.00
Space group P4/nmm (No. 129, origin choice 2)
One atom of each set of equivalent atoms:
Pb: 0.250 0.250 0.208 x2
Cl: 0.250 0.250 0.647 x2
F: 0.250 0.750 0.000 x2

ΔE_f (raw) (eV/f.u.): -5.372



(10)
Material: TlV2Cr3S8
Method: DFT, PBEsol
State: relaxed

a b c (Å): 16.977 3.299 8.552
angles (deg): 90.00 102.86 90.00
Space group Cm (No. 8)
One atom of each set of equivalent atoms:
Tl: 0.000 0.000 0.000 x2
V: 0.010 0.500 0.503 x2
V: 0.148 0.000 0.488 x2
Cr: 0.208 0.000 0.830 x2
Cr: 0.299 0.500 0.168 x2
Cr: 0.352 0.500 0.522 x2
S: 0.075 0.000 0.679 x2
S: 0.090 0.500 0.312 x2
S: 0.172 0.500 0.993 x2
S: 0.240 0.500 0.650 x2
S: 0.264 0.000 0.352 x2
S: 0.335 0.000 0.007 x2
S: 0.418 0.000 0.681 x2
S: 0.431 0.500 0.337 x2

ΔE_f (raw) (eV/f.u.): -11.172



(11)
Material: CoTc2Br
Method: DFT, PBEsol
State: relaxed

a b c (Å): 2.849 4.398 4.505
angles (deg): 90.00 90.00 90.00
Space group Pmmm (No. 47)
One atom of each set of equivalent atoms:
Co: 0.000 0.000 0.000 x1
Tc: 0.000 0.500 0.500 x1
Tc: 0.500 0.000 0.500 x1
Br: 0.500 0.500 0.000 x1

Energy above the lowest structure with this stoichiometry (meV per atom): 177.4
ΔE_f (raw) (eV/f.u.): 3.609



(12)
Material: Zr5Al
Method: DFT, PBEsol
State: relaxed

a b c (Å): 3.123 3.123 12.977
angles (deg): 90.00 90.00 90.00
Space group P4/mmm (No. 123)
One atom of each set of equivalent atoms:
Zr: 0.000 0.000 0.000 x1
Zr: 0.000 0.000 0.348 x2
Zr: 0.500 0.500 0.172 x2
Al: 0.500 0.500 0.500 x1



(13)
Material: KZr2Os
Method: DFT, PBEsol
State: relaxed

a b c (Å): 3.277 4.298 16.833
angles (deg): 90.00 90.00 90.00
Space group Imm2 (No. 44)
One atom of each set of equivalent atoms:
K: 0.000 0.000 0.000 x2
Zr: 0.000 0.000 0.313 x2
Zr: 0.000 0.500 0.180 x2
Os: 0.000 0.500 0.695 x2

Energy above the lowest structure with this stoichiometry (meV per atom): 0.0



(14)
Material: Pr3BBr3
Method: DFT, PBEsol
State: relaxed

a b c (Å): 11.569 11.569 11.569
angles (deg): 90.00 90.00 90.00
Space group I4_132 (No. 214)
One atom of each set of equivalent atoms:
Pr: 0.109 0.359 0.125 x24
B: 0.125 0.125 0.125 x8
Br: 0.116 0.134 0.625 x24

ΔE_f (raw) (eV/f.u.): -8.809



(15)
Material: LiBiS2
Method: DFT, PBEsol
State: relaxed

a b c (Å): 3.950 3.950 5.400
angles (deg): 90.00 90.00 90.00
Space group P4/mmm (No. 123)
One atom of each set of equivalent atoms:
Li: 0.000 0.000 0.000 x1
Bi: 0.500 0.500 0.500 x1
S: 0.000 0.000 0.500 x1
S: 0.500 0.500 0.000 x1

ΔE_f (raw) (eV/f.u.): -2.837



(16)
Material: KTl2CrF6
Method: DFT, PBEsol
State: relaxed

a b c (Å): 8.752 8.752 8.752
angles (deg): 90.00 90.00 90.00
Space group Fm-3m (No. 225)
One atom of each set of equivalent atoms:
K: 0.000 0.000 0.000 x4
Tl: 0.250 0.250 0.250 x8
Cr: 0.000 0.000 0.500 x4
F: 0.000 0.000 0.282 x24

ΔE_f (raw) (eV/f.u.): -23.423



(17)
Material: MgAsW
Method: DFT, PBEsol
State: relaxed

a b c (Å): 3.1092 3.1092 6.3212
angles (deg): 90.00 90.00 120.00
Space group P3m1 (No. 156)
One atom of each set of equivalent atoms:
Mg: 0.0000 0.0000 0.0000 x1
As: 0.6667 0.3333 0.3631 x1
W: 0.3333 0.6667 0.6388 x1

Energy above the lowest structure with this stoichiometry (meV per atom): 0.0



(18)
Material: YSiRh
Method: DFT, PBEsol
State: relaxed

a b c (Å): 6.836 4.203 7.298
angles (deg): 90.00 90.00 90.00
Space group Pnma (No. 62)
One atom of each set of equivalent atoms:
Y: 0.001 0.250 0.188 x4
Si: 0.203 0.250 0.605 x4
Rh: 0.153 0.750 0.431 x4

ΔE_f (raw) (eV/f.u.): -3.312



(19)
Material: Zn2PH2CO7
Method: DFT, PBEsol
State: relaxed

a b c (Å): 7.827 4.784 15.331
angles (deg): 90.00 113.83 90.00
Space group P2_1/c (No. 14)
One atom of each set of equivalent atoms:
Zn: 0.068 0.006 0.370 x4
Zn: 0.395 0.525 0.306 x4
P: 0.195 0.530 0.698 x4
H: 0.137 0.746 0.033 x4
H: 0.290 0.506 0.037 x4
C: 0.433 0.123 0.993 x4
O: 0.044 0.649 0.604 x4
O: 0.162 0.663 0.783 x4
O: 0.190 0.207 0.697 x4
O: 0.206 0.657 0.997 x4
O: 0.337 0.199 0.908 x4
O: 0.391 0.645 0.713 x4
O: 0.430 0.233 0.067 x4



(20)
Material: CaVO3
Method: DFT, PBEsol
State: relaxed

a b c (Å): 5.319 7.467 5.276
angles (deg): 90.00 90.00 90.00
Space group Pnma (No. 62)
One atom of each set of equivalent atoms:
Ca: 0.033 0.250 0.005 x4
V: 0.000 0.000 0.500 x4
O: 0.009 0.750 0.443 x4
O: 0.216 0.530 0.785 x8

ΔE_f (raw) (eV/f.u.): -14.077



(21)
Material: Fe2IrCl
Method: DFT, PBEsol
State: relaxed

a b c (Å): 2.809 2.847 7.151
angles (deg): 90.00 90.00 90.00
Space group Pmmm (No. 47)
One atom of each set of equivalent atoms:
Fe: 0.000 0.000 0.231 x2
Ir: 0.500 0.500 0.000 x1
Cl: 0.500 0.000 0.500 x1

ΔE_f (raw) (eV/f.u.): 0.725



no.,final energy (Ry per atom)
1,-0.2536
2,-0.4951
3,-0.4537
4,-0.2794
5,-0.3780
6,-0.5724
7,-0.6173
8,-0.6537
9,-0.3260
10,-0.5191
11,-0.5242
12,-0.6154
13,-0.5467
14,-0.3884
15,-0.3281
16,-0.3794
17,-0.4918
18,-0.5885
19,-0.4644
20,-0.6114
21,-0.5335